(1)
Material: CaIrI
Method: DFT, GGA-PBE
State: relaxed

Calculated values
The raw formation energy comes out at -0.34 eV per atom. The calculation puts the polymorph energy (0 for the lowest one) at 512 meV/atom. As for the total DFT energy (no corrections): -4.477 eV per atom. As for the crystal system: triclinic. As for the spin magnetization: 0.0 μB/cell.

Lattice parameters (Å, degrees): 5.052 5.959 5.973 88.97 76.26 75.20
Space group P1 (No. 1)
One atom of each set of equivalent atoms:
Ca1 0.000 0.000 0.000 (multiplicity 1)
Ca2 0.006 0.483 0.522 (multiplicity 1)
Ir1 0.003 0.481 0.000 (multiplicity 1)
Ir2 0.527 0.413 0.925 (multiplicity 1)
I1 0.459 0.727 0.246 (multiplicity 1)
I2 0.673 0.084 0.595 (multiplicity 1)

(2)
Material: CaIrI2
Method: DFT, GGA-PBE
State: relaxed

Calculated values
The raw formation energy comes out at -0.06 eV per atom. The calculation puts the polymorph energy (0 for the lowest one) at 0 meV/atom. As for the total DFT energy (no corrections): -3.549 eV per atom. As for the crystal system: tetragonal. As for the spin magnetization: 0.0 μB/cell.

Lattice parameters (Å, degrees): 5.606 5.606 16.370 90.00 90.00 90.00
Space group I-42d (No. 122)
One atom of each set of equivalent atoms:
Ca1 0.000 0.000 0.000 (multiplicity 4)
Ir1 0.000 0.000 0.500 (multiplicity 4)
I1 0.195 0.250 0.625 (multiplicity 8)

(3)
Material: CaIrI
Method: DFT, GGA-PBE
State: relaxed

Calculated values
The raw formation energy comes out at -0.17 eV per atom. The calculation puts the polymorph energy (0 for the lowest one) at 677 meV/atom. As for the total DFT energy (no corrections): -4.312 eV per atom. As for the crystal system: orthorhombic. As for the spin magnetization: 0.0 μB/cell.

Lattice parameters (Å, degrees): 10.056 4.519 7.328 90.00 90.00 90.00
Space group Pnma (No. 62)
One atom of each set of equivalent atoms:
Ca1 0.099 0.250 0.153 (multiplicity 4)
Ir1 0.188 0.750 0.911 (multiplicity 4)
I1 0.160 0.250 0.706 (multiplicity 4)

(4)
Material: CaIrI
Method: DFT, GGA-PBE
State: relaxed

Calculated values
The raw formation energy comes out at -0.70 eV per atom. The calculation puts the polymorph energy (0 for the lowest one) at 152 meV/atom. As for the total DFT energy (no corrections): -4.837 eV per atom. As for the crystal system: triclinic. As for the spin magnetization: 0.0 μB/cell.

Lattice parameters (Å, degrees): 4.208 4.293 10.187 77.89 89.90 90.00
Space group P-1 (No. 2)
One atom of each set of equivalent atoms:
Ca1 0.250 0.079 0.341 (multiplicity 2)
Ir1 0.249 0.470 0.561 (multiplicity 2)
I1 0.249 0.333 0.836 (multiplicity 2)